P | ZnCd3Cl PBE relaxed; total magnetization = 0.000 μB/cell
1.0
5.1835 0.0000 0.0000
0.0000 5.1835 0.0000
0.0000 0.0000 5.1835
Zn Cd Cl
1 3 1
Direct
0.0000 0.0000 0.0000 Zn
0.0000 0.0000 0.5000 Cd
0.0000 0.5000 0.0000 Cd
0.5000 0.0000 0.0000 Cd
0.5000 0.5000 0.5000 Cl

=====

Q | ZnCd3Cl PBE relaxed; total magnetization = 0.000 μB/cell
1.0
5.7480 0.0000 0.0000
0.0000 5.7480 0.0000
0.0000 0.0000 5.7480
Zn Cd Cl
1 3 1
Direct
0.0000 0.0000 0.0000 Zn
0.0000 0.5000 0.5000 Cd
0.5000 0.0000 0.5000 Cd
0.5000 0.5000 0.0000 Cd
0.5000 0.5000 0.5000 Cl

=====

Tell me which of them is the most stable. Sure, it is P.

=====

P | ZnCdCl3 PBE relaxed; total magnetization = 0.230 μB/cell
1.0
4.8902 0.0000 0.0000
0.0000 4.8902 0.0000
0.0000 0.0000 4.8902
Zn Cd Cl
1 1 3
Direct
0.0000 0.0000 0.0000 Zn
0.5000 0.5000 0.5000 Cd
0.0000 0.0000 0.5000 Cl
0.0000 0.5000 0.0000 Cl
0.5000 0.0000 0.0000 Cl

=====

Q | ZnCdCl3 PBE relaxed; total magnetization = 0.937 μB/cell
1.0
5.1877 0.0000 0.0000
0.0000 5.1877 0.0000
0.0000 0.0000 5.1877
Zn Cd Cl
1 1 3
Direct
0.0000 0.0000 0.0000 Zn
0.5000 0.5000 0.5000 Cd
0.0000 0.5000 0.5000 Cl
0.5000 0.0000 0.5000 Cl
0.5000 0.5000 0.0000 Cl

=====

Tell me which of them is the most stable. Sure, it is P.

=====

P | ZrCd3Cl PBE relaxed; total magnetization = 2.110 μB/cell
1.0
5.1992 0.0000 0.0000
0.0000 5.1992 0.0000
0.0000 0.0000 5.1992
Zr Cd Cl
1 3 1
Direct
0.0000 0.0000 0.0000 Zr
0.0000 0.5000 0.5000 Cd
0.5000 0.0000 0.5000 Cd
0.5000 0.5000 0.0000 Cd
0.5000 0.5000 0.5000 Cl

=====

Q | ZrCd3Cl PBE relaxed; total magnetization = 0.000 μB/cell
1.0
5.7714 0.0000 0.0000
0.0000 5.7714 0.0000
0.0000 0.0000 5.7714
Zr Cd Cl
1 3 1
Direct
0.0000 0.0000 0.0000 Zr
0.0000 0.0000 0.5000 Cd
0.0000 0.5000 0.0000 Cd
0.5000 0.0000 0.0000 Cd
0.5000 0.5000 0.5000 Cl

=====

Tell me which of them is the most stable. Sure, it is Q.

=====

P | ZrCdCl6 PBE relaxed; total magnetization = 0.000 μB/cell
1.0
3.2541 1.8788 5.8771
-3.2541 1.8788 5.8771
0.0000 -3.7576 5.8771
Zr Cd Cl
1 1 6
Direct
0.0000 0.0000 0.0000 Zr
0.5000 0.5000 0.5000 Cd
0.0865 0.3926 0.7630 Cl
0.2370 0.9135 0.6074 Cl
0.3926 0.7630 0.0865 Cl
0.6074 0.2370 0.9135 Cl
0.7630 0.0865 0.3926 Cl
0.9135 0.6074 0.2370 Cl

=====

Q | ZrCdCl6 PBE relaxed; total magnetization = 0.000 μB/cell
1.0
6.7760 0.0000 0.0000
0.0000 12.0734 0.0000
-0.3993 0.0000 6.6133
Zr Cd Cl
2 2 12
Direct
0.0000 0.0000 0.0000 Zr
0.5000 0.5000 0.0000 Zr
0.0000 0.0000 0.5000 Cd
0.5000 0.5000 0.5000 Cd
0.1467 0.1432 0.7805 Cl
0.1467 0.8568 0.7805 Cl
0.2047 0.5000 0.7541 Cl
0.2953 0.0000 0.2459 Cl
0.3533 0.3568 0.2195 Cl
0.3533 0.6432 0.2195 Cl
0.6467 0.3568 0.7805 Cl
0.6467 0.6432 0.7805 Cl
0.7047 0.0000 0.7541 Cl
0.7953 0.5000 0.2459 Cl
0.8533 0.1432 0.2195 Cl
0.8533 0.8568 0.2195 Cl

=====

Tell me which of them is the most stable. Sure, it is Q.

=====

P | Cd5Co PBE relaxed; total magnetization = 1.729 μB/cell
1.0
5.5514 0.0000 0.0000
-2.7757 4.8076 0.0000
0.0000 0.0000 5.0388
Cd Co
5 1
Direct
0.0000 0.5000 0.0000 Cd
0.3333 0.6667 0.5000 Cd
0.5000 0.0000 0.0000 Cd
0.5000 0.5000 0.0000 Cd
0.6667 0.3333 0.5000 Cd
0.0000 0.0000 0.5000 Co

=====

Q | Cd5Co PBE relaxed; total magnetization = 1.606 μB/cell
1.0
4.2511 0.0000 0.0000
0.0000 12.8661 0.0000
0.0000 0.0000 4.2566
Cd Co
10 2
Direct
0.0000 0.0000 0.0000 Cd
0.0000 0.1578 0.5000 Cd
0.0000 0.3423 0.0000 Cd
0.0000 0.6577 0.0000 Cd
0.0000 0.8422 0.5000 Cd
0.5000 0.1577 0.0000 Cd
0.5000 0.3422 0.5000 Cd
0.5000 0.5000 0.0000 Cd
0.5000 0.6578 0.5000 Cd
0.5000 0.8423 0.0000 Cd
0.0000 0.5000 0.5000 Co
0.5000 0.0000 0.5000 Co

=====

R | Cd5Co PBE relaxed; total magnetization = 1.446 μB/cell
1.0
0.0000 3.9764 3.9764
3.9764 0.0000 3.9764
3.9764 3.9764 0.0000
Cd Co
5 1
Direct
0.0000 0.0000 0.0000 Cd
0.3755 0.3755 0.3755 Cd
0.3755 0.3755 0.8736 Cd
0.3755 0.8736 0.3755 Cd
0.8736 0.3755 0.3755 Cd
0.7500 0.7500 0.7500 Co

=====

S | Cd5Co PBE relaxed; total magnetization = 2.578 μB/cell
1.0
11.2063 0.0000 0.0000
0.0000 3.0663 0.0000
-2.1539 0.0000 6.9133
Cd Co
10 2
Direct
0.0000 0.0000 0.0000 Cd
0.0166 0.0000 0.6052 Cd
0.1564 0.5000 0.3451 Cd
0.2931 0.0000 0.7148 Cd
0.3555 0.0000 0.2288 Cd
0.5000 0.5000 0.0000 Cd
0.5166 0.5000 0.6052 Cd
0.6564 0.0000 0.3451 Cd
0.7931 0.5000 0.7148 Cd
0.8555 0.5000 0.2288 Cd
0.1897 0.5000 0.9456 Co
0.6897 0.0000 0.9456 Co

=====

Tell me which of them is the most stable. Sure, it is S.

=====

P | CdCo4 PBE relaxed; total magnetization = 7.336 μB/cell
1.0
4.6168 0.0000 0.0000
0.0000 4.6168 0.0000
0.0000 0.0000 4.6168
Cd Co
1 4
Direct
0.0000 0.0000 0.0000 Cd
0.0000 0.0000 0.5000 Co
0.0000 0.5000 0.0000 Co
0.5000 0.0000 0.0000 Co
0.5000 0.5000 0.5000 Co

=====

Q | CdCo4 PBE relaxed; total magnetization = 12.721 μB/cell
1.0
5.8650 0.0000 0.0000
0.0000 5.8650 0.0000
0.0000 0.0000 3.6938
Cd Co
2 8
Direct
0.0000 0.0000 0.0000 Cd
0.5000 0.5000 0.5000 Cd
0.0839 0.3124 0.5000 Co
0.1876 0.5839 0.0000 Co
0.3124 0.9161 0.5000 Co
0.4161 0.1876 0.0000 Co
0.5839 0.8124 0.0000 Co
0.6876 0.0839 0.5000 Co
0.8124 0.4161 0.0000 Co
0.9161 0.6876 0.5000 Co

=====

Tell me which of them is the most stable. Sure, it is Q.